No. 1
## CuS3F (PBE)

Data for an optimized crystal structure of CuS3F.

Lattice parameters (Å, degrees): 4.363 4.363 4.363 90.00 90.00 90.00
Element x y z (fractional)
S  0.000  0.500  0.000
S  0.000  0.000  0.500
S  0.500  0.000  0.000
Cu  0.500  0.500  0.500
F  0.000  0.000  0.000

Spin magnetization   0.000 μB/atom
Formation energy without anion corrections   99 kJ/mol of atoms
Symmetry   Pm-3m (221)

---

No. 2
## CuSF6 (PBE)

Data for an optimized crystal structure of CuSF6.

Lattice parameters (Å, degrees): 4.915 4.963 5.017 60.36 84.29 78.40
Each line ends with the local moment (μB).
Element x y z (fractional)
Cu  0.000  0.000  0.000  0.29
S  0.500  0.500  0.000  0.01
F  0.722  0.433  0.719  0.01
F  0.722  0.151  0.281  0.01
F  0.278  0.849  0.719  0.01
F  0.278  0.567  0.281  0.01
F  0.733  0.749  0.000  0.02
F  0.267  0.251  0.000  0.02

Spin magnetization   0.047 μB/atom
Formation energy without anion corrections   -129 kJ/mol of atoms
Symmetry   C2/m (12)

---

No. 3
## CuSF (PBE)

Data for an optimized crystal structure of CuSF.

Lattice parameters (Å, degrees): 4.338 5.176 8.997 84.20 76.05 65.23
Element x y z (fractional)
Cu  0.875  0.750  0.250
Cu  0.875  0.250  0.750
Cu  0.875  0.250  0.250
Cu  0.375  0.750  0.750
S  0.029  0.500  0.500
S  0.279  0.000  0.000
S  0.471  0.500  0.500
S  0.721  0.000  0.000
F  0.342  0.000  0.316
F  0.658  0.000  0.684
F  0.408  0.500  0.184
F  0.092  0.500  0.816

Spin magnetization   0.000 μB/atom
Formation energy without anion corrections   -38 kJ/mol of atoms
Symmetry   Fddd (70)

---

No. 4
## Cu4S2F (PBE)

Data for an optimized crystal structure of Cu4S2F.

Lattice parameters (Å, degrees): 3.586 3.586 8.907 78.39 78.39 60.00
Element x y z (fractional)
Cu  0.135  0.135  0.594
Cu  0.283  0.283  0.150
Cu  0.717  0.717  0.850
Cu  0.865  0.865  0.406
S  0.428  0.428  0.715
S  0.572  0.572  0.285
F  0.000  0.000  0.000

Spin magnetization   0.000 μB/atom
Formation energy without anion corrections   -26 kJ/mol of atoms
Symmetry   R-3m (166)